Record 1
{"formula": "ThTe2H", "functional": "PBE", "state": "optimized geometry", "lattice_angstrom": [[5.212, 0.000, 0.000], [0.000, 4.071, 0.000], [-0.031, 0.000, 9.047]], "species": ["Th", "Th", "Te", "Te", "Te", "Te", "H", "H"], "fractional_positions": [[0.249, 0.250, 0.286], [0.751, 0.750, 0.714], [0.250, 0.250, 0.642], [0.250, 0.750, 0.995], [0.750, 0.250, 0.005], [0.750, 0.750, 0.358], [0.250, 0.750, 0.364], [0.750, 0.250, 0.636]], "de_polymorph_mev_per_atom": 5.6, "total_energy_ev_per_cell": -40.14}

---

Record 2
{"formula": "Rb4PuI5", "functional": "PBE", "state": "optimized geometry", "lattice_angstrom": [[-5.787, 5.787, 3.737], [5.787, -5.787, 3.737], [5.787, 5.787, -3.737]], "species": ["Rb", "Rb", "Rb", "Rb", "Pu", "I", "I", "I", "I", "I"], "fractional_positions": [[0.094, 0.298, 0.392], [0.298, 0.906, 0.203], [0.702, 0.094, 0.797], [0.906, 0.702, 0.608], [0.510, 0.510, 0.000], [0.224, 0.588, 0.815], [0.409, 0.224, 0.636], [0.588, 0.773, 0.364], [0.773, 0.409, 0.185], [0.952, 0.952, 0.000]], "total_energy_ev_per_cell": -37.66, "e_form_raw_ev_per_atom": -1.17}

---

Record 3
{"formula": "Cu3Pt7Rh", "functional": "PBE", "state": "optimized geometry", "lattice_angstrom": [[4.209, -4.553, 0.000], [4.209, 4.553, 0.000], [-2.107, 0.000, 4.623]], "species": ["Cu", "Cu", "Cu", "Pt", "Pt", "Pt", "Pt", "Pt", "Pt", "Pt", "Rh"], "fractional_positions": [[0.000, 0.000, 0.000], [0.226, 0.774, 0.500], [0.774, 0.226, 0.500], [0.069, 0.586, 0.817], [0.190, 0.190, 0.539], [0.414, 0.931, 0.183], [0.500, 0.500, 0.500], [0.586, 0.069, 0.817], [0.810, 0.810, 0.461], [0.931, 0.414, 0.183], [0.500, 0.500, 0.000]], "total_energy_ev_per_cell": -59.37, "e_form_ev_per_atom": 0.2320}

---

Record 4
{"formula": "Tb4InHg2Pt", "functional": "PBE", "state": "optimized geometry", "lattice_angstrom": [[2.612, 1.508, 8.470], [-2.612, 1.508, 8.470], [0.000, -3.016, 8.470]], "species": ["Tb", "Tb", "Tb", "Tb", "In", "Hg", "Hg", "Pt"], "fractional_positions": [[0.115, 0.115, 0.115], [0.368, 0.368, 0.368], [0.632, 0.632, 0.632], [0.885, 0.885, 0.885], [0.500, 0.500, 0.500], [0.241, 0.241, 0.241], [0.759, 0.759, 0.759], [0.000, 0.000, 0.000]], "total_energy_ev_per_cell": -33.25, "e_form_ev_per_atom": -0.6681}

---

Record 5
{"formula": "SmYTlPt", "functional": "PBE", "state": "optimized geometry", "lattice_angstrom": [[7.365, 0.000, 0.000], [0.000, 7.365, 0.000], [0.000, 0.000, 7.365]], "species": ["Sm", "Sm", "Sm", "Sm", "Y", "Y", "Y", "Y", "Tl", "Tl", "Tl", "Tl", "Pt", "Pt", "Pt", "Pt"], "fractional_positions": [[0.000, 0.000, 0.000], [0.000, 0.500, 0.500], [0.500, 0.000, 0.500], [0.500, 0.500, 0.000], [0.000, 0.000, 0.500], [0.000, 0.500, 0.000], [0.500, 0.000, 0.000], [0.500, 0.500, 0.500], [0.250, 0.250, 0.250], [0.250, 0.750, 0.750], [0.750, 0.250, 0.750], [0.750, 0.750, 0.250], [0.250, 0.250, 0.750], [0.250, 0.750, 0.250], [0.750, 0.250, 0.250], [0.750, 0.750, 0.750]], "total_energy_ev_per_cell": -89.05, "e_form_ev_per_atom": -0.6683}

---

Record 6
{"formula": "ScB2Te", "functional": "PBE", "state": "optimized geometry", "lattice_angstrom": [[6.189, 0.000, 0.000], [0.000, 6.189, 0.000], [0.000, 0.000, 6.816]], "species": ["Sc", "Sc", "Sc", "Sc", "B", "B", "B", "B", "B", "B", "B", "B", "Te", "Te", "Te", "Te"], "fractional_positions": [[0.000, 0.000, 0.000], [0.000, 0.500, 0.250], [0.500, 0.000, 0.750], [0.500, 0.500, 0.500], [0.220, 0.250, 0.625], [0.250, 0.720, 0.875], [0.250, 0.780, 0.375], [0.280, 0.250, 0.125], [0.720, 0.750, 0.125], [0.750, 0.220, 0.375], [0.750, 0.280, 0.875], [0.780, 0.750, 0.625], [0.000, 0.000, 0.500], [0.000, 0.500, 0.750], [0.500, 0.000, 0.250], [0.500, 0.500, 0.000]], "total_energy_ev_per_cell": -81.36, "e_form_raw_ev_per_atom": 0.62}

---

Record 7
{"formula": "MgFeAgMo2", "functional": "PBE", "state": "optimized geometry", "lattice_angstrom": [[4.638, 0.000, 0.000], [0.000, 4.638, 0.000], [0.000, 0.000, 4.343]], "species": ["Mg", "Fe", "Ag", "Mo", "Mo"], "fractional_positions": [[0.000, 0.000, 0.000], [0.000, 0.000, 0.500], [0.500, 0.500, 0.500], [0.000, 0.500, 0.000], [0.500, 0.000, 0.000]], "total_energy_ev_per_cell": -24.56, "e_form_ev_per_atom": 2.0018}

---

Record 8
{"formula": "Tl2ZnRh", "functional": "PBE", "state": "optimized geometry", "lattice_angstrom": [[3.346, 0.000, 0.000], [0.000, 4.523, 0.000], [0.000, 0.000, 5.457]], "species": ["Tl", "Tl", "Zn", "Rh"], "fractional_positions": [[0.000, 0.000, 0.000], [0.500, 0.000, 0.500], [0.000, 0.500, 0.500], [0.500, 0.500, 0.000]], "de_polymorph_mev_per_atom": 261.5, "total_energy_ev_per_cell": -12.25, "e_form_ev_per_atom": 0.2772}

---

Record 9
{"formula": "Rh4PbSe8", "functional": "PBE", "state": "optimized geometry", "lattice_angstrom": [[3.711, 2.143, 6.886], [-3.711, 2.143, 6.886], [0.000, -4.285, 6.886]], "species": ["Rh", "Rh", "Rh", "Rh", "Pb", "Se", "Se", "Se", "Se", "Se", "Se", "Se", "Se"], "fractional_positions": [[0.000, 0.000, 0.000], [0.000, 0.500, 0.500], [0.500, 0.000, 0.500], [0.500, 0.500, 0.000], [0.500, 0.500, 0.500], [0.232, 0.232, 0.726], [0.232, 0.726, 0.232], [0.269, 0.269, 0.269], [0.274, 0.768, 0.768], [0.726, 0.232, 0.232], [0.731, 0.731, 0.731], [0.768, 0.274, 0.768], [0.768, 0.768, 0.274]], "total_energy_ev_per_cell": -65.52, "e_form_raw_ev_per_atom": -0.35}

---

Record 10
{"formula": "HfSc2F", "functional": "PBE", "state": "optimized geometry", "lattice_angstrom": [[6.974, 0.000, 0.000], [0.000, 6.974, 0.000], [0.000, 0.000, 6.974]], "species": ["Hf", "Hf", "Hf", "Hf", "Sc", "Sc", "Sc", "Sc", "Sc", "Sc", "Sc", "Sc", "F", "F", "F", "F"], "fractional_positions": [[0.000, 0.000, 0.000], [0.000, 0.500, 0.500], [0.500, 0.000, 0.500], [0.500, 0.500, 0.000], [0.250, 0.250, 0.250], [0.250, 0.250, 0.750], [0.250, 0.750, 0.250], [0.250, 0.750, 0.750], [0.750, 0.250, 0.250], [0.750, 0.250, 0.750], [0.750, 0.750, 0.250], [0.750, 0.750, 0.750], [0.000, 0.000, 0.500], [0.000, 0.500, 0.000], [0.500, 0.000, 0.000], [0.500, 0.500, 0.500]], "de_polymorph_mev_per_atom": 1209.5, "total_energy_ev_per_cell": -96.68, "e_form_raw_ev_per_atom": 0.08}

---

Record 11
{"formula": "ErTm3Pb2", "functional": "PBE", "state": "optimized geometry", "lattice_angstrom": [[4.881, 0.000, 0.000], [0.000, 15.719, 0.000], [0.000, 0.000, 4.374]], "species": ["Er", "Er", "Tm", "Tm", "Tm", "Tm", "Tm", "Tm", "Pb", "Pb", "Pb", "Pb"], "fractional_positions": [[0.000, 0.000, 0.000], [0.500, 0.500, 0.000], [0.000, 0.174, 0.500], [0.000, 0.500, 0.500], [0.000, 0.826, 0.500], [0.500, 0.000, 0.500], [0.500, 0.326, 0.500], [0.500, 0.674, 0.500], [0.000, 0.348, 0.000], [0.000, 0.652, 0.000], [0.500, 0.152, 0.000], [0.500, 0.848, 0.000]], "de_polymorph_mev_per_atom": 53.1, "total_energy_ev_per_cell": -54.74, "e_form_ev_per_atom": -0.3291}

---

Record 12
{"formula": "GaTc3Os", "functional": "PBE", "state": "optimized geometry", "lattice_angstrom": [[4.414, 0.000, 0.000], [0.000, 4.414, 0.000], [0.000, 0.000, 4.414]], "species": ["Ga", "Tc", "Tc", "Tc", "Os"], "fractional_positions": [[0.000, 0.000, 0.000], [0.000, 0.000, 0.500], [0.000, 0.500, 0.000], [0.500, 0.000, 0.000], [0.500, 0.500, 0.500]], "de_polymorph_mev_per_atom": 83.1, "total_energy_ev_per_cell": -36.66, "e_form_ev_per_atom": 1.7394}

---

Record 13
{"formula": "PuBi4Pb2", "functional": "PBE", "state": "optimized geometry", "lattice_angstrom": [[9.542, 0.000, 0.000], [0.000, 9.780, 0.000], [0.000, 0.000, 4.917]], "species": ["Pu", "Pu", "Bi", "Bi", "Bi", "Bi", "Bi", "Bi", "Bi", "Bi", "Pb", "Pb", "Pb", "Pb"], "fractional_positions": [[0.000, 0.000, 0.000], [0.500, 0.500, 0.000], [0.246, 0.500, 0.500], [0.250, 0.250, 0.000], [0.250, 0.750, 0.000], [0.254, 0.000, 0.500], [0.746, 0.000, 0.500], [0.750, 0.250, 0.000], [0.750, 0.750, 0.000], [0.754, 0.500, 0.500], [0.000, 0.263, 0.500], [0.000, 0.737, 0.500], [0.500, 0.237, 0.500], [0.500, 0.763, 0.500]], "total_energy_ev_per_cell": -75.83, "e_form_ev_per_atom": -0.0919}

---

Record 14
{"formula": "Ce2Ge3Pd", "functional": "PBE", "state": "optimized geometry", "lattice_angstrom": [[10.732, 0.000, 0.000], [0.000, 4.375, 0.000], [-4.613, 0.000, 5.378]], "species": ["Ce", "Ce", "Ce", "Ce", "Ge", "Ge", "Ge", "Ge", "Ge", "Ge", "Pd", "Pd"], "fractional_positions": [[0.000, 0.000, 0.000], [0.106, 0.000, 0.619], [0.500, 0.500, 0.000], [0.606, 0.500, 0.619], [0.188, 0.500, 0.417], [0.227, 0.500, 0.044], [0.385, 0.000, 0.594], [0.688, 0.000, 0.417], [0.727, 0.000, 0.044], [0.885, 0.500, 0.594], [0.381, 0.000, 0.210], [0.881, 0.500, 0.210]], "de_polymorph_mev_per_atom": 44.3, "total_energy_ev_per_cell": -70.42, "e_form_ev_per_atom": -0.7165}

---

Record 15
{"formula": "Ac14PmSc", "functional": "PBE", "state": "optimized geometry", "lattice_angstrom": [[11.158, 0.000, 0.000], [0.000, 5.553, 5.553], [0.000, -5.553, 5.553]], "species": ["Ac", "Ac", "Ac", "Ac", "Ac", "Ac", "Ac", "Ac", "Ac", "Ac", "Ac", "Ac", "Ac", "Ac", "Pm", "Sc"], "fractional_positions": [[0.000, 0.000, 0.000], [0.000, 0.000, 0.500], [0.000, 0.499, 0.499], [0.000, 0.500, 0.000], [0.258, 0.252, 0.747], [0.258, 0.747, 0.252], [0.258, 0.747, 0.747], [0.259, 0.252, 0.252], [0.500, 0.500, 0.999], [0.500, 0.999, 0.500], [0.741, 0.252, 0.252], [0.742, 0.252, 0.747], [0.742, 0.747, 0.252], [0.742, 0.747, 0.747], [0.500, 0.000, 0.000], [0.500, 0.500, 0.500]], "total_energy_ev_per_cell": -67.92, "e_form_ev_per_atom": 0.0427}

---

Record 16
{"formula": "PrDyTlNi", "functional": "PBE", "state": "optimized geometry", "lattice_angstrom": [[7.390, 0.000, 0.000], [0.000, 7.390, 0.000], [0.000, 0.000, 7.390]], "species": ["Pr", "Pr", "Pr", "Pr", "Dy", "Dy", "Dy", "Dy", "Tl", "Tl", "Tl", "Tl", "Ni", "Ni", "Ni", "Ni"], "fractional_positions": [[0.000, 0.000, 0.000], [0.000, 0.500, 0.500], [0.500, 0.000, 0.500], [0.500, 0.500, 0.000], [0.000, 0.000, 0.500], [0.000, 0.500, 0.000], [0.500, 0.000, 0.000], [0.500, 0.500, 0.500], [0.250, 0.250, 0.250], [0.250, 0.750, 0.750], [0.750, 0.250, 0.750], [0.750, 0.750, 0.250], [0.250, 0.250, 0.750], [0.250, 0.750, 0.250], [0.750, 0.250, 0.250], [0.750, 0.750, 0.750]], "total_energy_ev_per_cell": -73.19, "e_form_ev_per_atom": -0.1922}

---

Record 17
{"formula": "Tl2Ge2H", "functional": "PBE", "state": "optimized geometry", "lattice_angstrom": [[6.094, 0.000, 0.000], [0.000, 6.094, 0.000], [0.000, 0.000, 5.666]], "species": ["Tl", "Tl", "Tl", "Tl", "Ge", "Ge", "Ge", "Ge", "H", "H"], "fractional_positions": [[0.189, 0.311, 0.000], [0.311, 0.811, 0.000], [0.689, 0.189, 0.000], [0.811, 0.689, 0.000], [0.176, 0.676, 0.500], [0.324, 0.176, 0.500], [0.676, 0.824, 0.500], [0.824, 0.324, 0.500], [0.000, 0.000, 0.500], [0.500, 0.500, 0.500]], "de_polymorph_mev_per_atom": 51.7, "total_energy_ev_per_cell": -30.48}

---

Record 18
{"formula": "LiSi2Pt", "functional": "PBE", "state": "optimized geometry", "lattice_angstrom": [[2.995, 0.000, 0.000], [-1.497, 2.593, 0.000], [0.000, 0.000, 23.615]], "species": ["Li", "Li", "Li", "Si", "Si", "Si", "Si", "Si", "Si", "Pt", "Pt", "Pt"], "fractional_positions": [[0.000, 0.000, 0.000], [0.333, 0.667, 0.667], [0.667, 0.333, 0.333], [0.000, 0.000, 0.243], [0.000, 0.000, 0.501], [0.333, 0.667, 0.168], [0.333, 0.667, 0.910], [0.667, 0.333, 0.576], [0.667, 0.333, 0.835], [0.000, 0.000, 0.760], [0.333, 0.667, 0.427], [0.667, 0.333, 0.093]], "de_polymorph_mev_per_atom": 376.2, "total_energy_ev_per_cell": -57.74, "e_form_raw_ev_per_atom": -0.11}

---

Record 19
{"formula": "AcMgGa2Cu2", "functional": "PBE", "state": "optimized geometry", "lattice_angstrom": [[4.340, 0.000, 0.000], [-2.170, 3.759, 0.000], [0.000, 0.000, 7.440]], "species": ["Ac", "Mg", "Ga", "Ga", "Cu", "Cu"], "fractional_positions": [[0.000, 0.000, 0.000], [0.000, 0.000, 0.500], [0.333, 0.667, 0.299], [0.667, 0.333, 0.701], [0.333, 0.667, 0.673], [0.667, 0.333, 0.327]], "total_energy_ev_per_cell": -22.13, "e_form_ev_per_atom": -0.3634}

---

Record 20
{"formula": "Cs3TbCe2Te6", "functional": "PBE", "state": "optimized geometry", "lattice_angstrom": [[4.048, -7.012, 0.000], [4.048, 7.012, 0.000], [-2.700, 0.000, 8.915]], "species": ["Cs", "Cs", "Cs", "Tb", "Ce", "Ce", "Te", "Te", "Te", "Te", "Te", "Te"], "fractional_positions": [[0.000, 0.000, 0.000], [0.332, 0.668, 0.000], [0.668, 0.332, 0.000], [0.500, 0.500, 0.500], [0.167, 0.833, 0.500], [0.833, 0.167, 0.500], [0.110, 0.436, 0.308], [0.238, 0.238, 0.693], [0.436, 0.110, 0.308], [0.564, 0.890, 0.692], [0.762, 0.762, 0.307], [0.890, 0.564, 0.692]], "total_energy_ev_per_cell": -54.22, "e_form_raw_ev_per_atom": -1.36}

---

Record 21
{"formula": "Ta2Hg2Te6Rh", "functional": "PBE", "state": "optimized geometry", "lattice_angstrom": [[3.127, -5.643, 0.000], [3.127, 5.643, 0.000], [-2.498, 0.000, 10.145]], "species": ["Ta", "Ta", "Hg", "Hg", "Te", "Te", "Te", "Te", "Te", "Te", "Rh"], "fractional_positions": [[0.136, 0.864, 0.000], [0.864, 0.136, 0.000], [0.289, 0.711, 0.500], [0.711, 0.289, 0.500], [0.111, 0.455, 0.836], [0.272, 0.272, 0.194], [0.455, 0.111, 0.836], [0.545, 0.889, 0.164], [0.728, 0.728, 0.806], [0.889, 0.545, 0.164], [0.500, 0.500, 0.000]], "total_energy_ev_per_cell": -53.24, "e_form_raw_ev_per_atom": -0.25}

---

Record 22
{"formula": "CeP2Pd6", "functional": "PBE", "state": "optimized geometry", "lattice_angstrom": [[4.098, 0.000, 0.000], [0.000, 4.098, 0.000], [0.000, 0.000, 8.692]], "species": ["Ce", "P", "P", "Pd", "Pd", "Pd", "Pd", "Pd", "Pd"], "fractional_positions": [[0.000, 0.000, 0.000], [0.500, 0.500, 0.127], [0.500, 0.500, 0.873], [0.000, 0.000, 0.500], [0.000, 0.500, 0.273], [0.000, 0.500, 0.727], [0.500, 0.000, 0.273], [0.500, 0.000, 0.727], [0.500, 0.500, 0.500]], "total_energy_ev_per_cell": -53.48, "e_form_ev_per_atom": -0.6192}

---

Record 23
{"formula": "CuRhCl2", "functional": "PBE", "state": "optimized geometry", "lattice_angstrom": [[4.597, 0.000, 0.000], [0.000, 3.474, 0.000], [-0.470, 0.000, 5.194]], "species": ["Cu", "Rh", "Cl", "Cl"], "fractional_positions": [[0.000, 0.000, 0.000], [0.000, 0.000, 0.500], [0.252, 0.500, 0.734], [0.748, 0.500, 0.266]], "de_polymorph_mev_per_atom": 215.0, "total_energy_ev_per_cell": -15.00, "e_form_raw_ev_per_atom": 0.04}

---

Record 24
{"formula": "K2ZrCrC", "functional": "PBE", "state": "optimized geometry", "lattice_angstrom": [[7.083, 0.000, 0.000], [0.000, 7.083, 0.000], [0.000, 0.000, 4.046]], "species": ["K", "K", "Zr", "Cr", "C"], "fractional_positions": [[0.000, 0.500, 0.000], [0.500, 0.000, 0.000], [0.000, 0.000, 0.000], [0.500, 0.500, 0.500], [0.000, 0.000, 0.500]], "total_energy_ev_per_cell": -22.13, "e_form_ev_per_atom": 1.4916}

---

Record 25
{"formula": "TaSnF3", "functional": "PBE", "state": "optimized geometry", "lattice_angstrom": [[4.343, 0.000, 0.000], [0.000, 4.343, 0.000], [0.000, 0.000, 4.343]], "species": ["Ta", "Sn", "F", "F", "F"], "fractional_positions": [[0.000, 0.000, 0.000], [0.500, 0.500, 0.500], [0.000, 0.000, 0.500], [0.000, 0.500, 0.000], [0.500, 0.000, 0.000]], "de_polymorph_mev_per_atom": 0.0, "total_energy_ev_per_cell": -28.29, "e_form_raw_ev_per_atom": -1.36}